Record 1
## CsLiPuBr4 (PBE)

Data for a geometry-optimized CsLiPuBr4 structure.

## Properties
- VASP energy: -69.104 eV/cell
- Volume: 35.1 Å³ per atom
- D(E_F): 2.687 states/eV/atom
- ΔE_f (raw): -1537 meV per atom

Cell lengths 7.057, 7.464, 9.965 Å; angles 90.00, 110.59, 90.00 degrees
Fractional coordinates of all 14 atoms:
Cs 0.731 0.750 0.940
Cs 0.269 0.250 0.060
Li 0.224 0.750 0.326
Li 0.776 0.250 0.674
Pu 0.794 0.750 0.456
Pu 0.206 0.250 0.544
Br 0.025 0.504 0.707
Br 0.975 0.004 0.293
Br 0.975 0.496 0.293
Br 0.025 0.996 0.707
Br 0.425 0.750 0.167
Br 0.575 0.250 0.833
Br 0.458 0.750 0.575
Br 0.542 0.250 0.425

---

Record 2
## CsLiPuBr6 (PBE)

Data for a geometry-optimized CsLiPuBr6 structure.

## Properties
- VASP energy: -81.030 eV/cell
- Volume: 41.1 Å³ per atom
- D(E_F): 0.602 states/eV/atom
- ΔE_f (raw): -1487 meV per atom

Cell lengths 7.197, 7.197, 16.490 Å; angles 90.00, 90.00, 120.00 degrees
Fractional coordinates of all 18 atoms:
Cs 0.000 0.000 0.000
Cs 0.000 0.000 0.500
Li 0.333 0.667 0.250
Li 0.667 0.333 0.750
Pu 0.667 0.333 0.250
Pu 0.333 0.667 0.750
Br 0.633 0.631 0.154
Br 0.998 0.367 0.154
Br 0.367 0.998 0.654
Br 0.002 0.633 0.846
Br 0.369 0.367 0.346
Br 0.998 0.631 0.346
Br 0.631 0.998 0.846
Br 0.633 0.002 0.346
Br 0.002 0.369 0.654
Br 0.369 0.002 0.154
Br 0.631 0.633 0.654
Br 0.367 0.369 0.846

---

Record 3
## CsLi2PuBr6 (PBE)

Data for a geometry-optimized CsLi2PuBr6 structure.

## Properties
- VASP energy: -44.520 eV/cell
- Volume: 33.2 Å³ per atom
- D(E_F): 1.121 states/eV/atom
- ΔE_f (raw): -1547 meV per atom

Cell lengths 7.483, 7.476, 8.111 Å; angles 62.50, 62.45, 60.04 degrees
Fractional coordinates of all 10 atoms:
Cs 0.786 0.785 0.644
Li 0.527 0.527 0.420
Li 0.013 0.012 0.960
Pu 0.321 0.321 0.036
Br 0.593 0.270 0.233
Br 0.270 0.903 0.233
Br 0.904 0.595 0.232
Br 0.295 0.742 0.751
Br 0.742 0.211 0.752
Br 0.211 0.294 0.753

---

Record 4
## CsRbLiBr3 (PBE)

Data for a geometry-optimized CsRbLiBr3 structure.

## Properties
- VASP energy: -37.184 eV/cell
- Volume: 39.3 Å³ per atom
- D(E_F): 0.000 states/eV/atom
- ΔE_f (raw): -1640 meV per atom

Cell lengths 5.407, 9.656, 9.743 Å; angles 104.56, 90.00, 106.26 degrees
Fractional coordinates of all 12 atoms:
Cs 0.351 0.703 0.925
Cs 0.649 0.297 0.075
Rb 0.650 0.300 0.574
Rb 0.350 0.700 0.426
Li 0.002 0.003 0.264
Li 0.998 0.997 0.736
Br 0.853 0.705 0.187
Br 0.849 0.697 0.664
Br 0.501 0.002 0.263
Br 0.151 0.303 0.336
Br 0.499 0.998 0.737
Br 0.147 0.295 0.813

---

Record 5
## Cs4Rb3LiBr8 (PBE)

Data for a geometry-optimized Cs4Rb3LiBr8 structure.

## Properties
- VASP energy: -48.613 eV/cell
- Volume: 44.2 Å³ per atom
- D(E_F): 0.000 states/eV/atom
- ΔE_f (raw): -1687 meV per atom

Cell lengths 9.906, 9.902, 10.045 Å; angles 119.52, 119.54, 90.00 degrees
Fractional coordinates of all 16 atoms:
Cs 0.500 0.000 0.000
Cs 0.500 0.000 0.500
Cs 0.000 0.000 0.000
Cs 0.000 0.000 0.500
Rb 0.500 0.500 0.000
Rb 0.500 0.500 0.500
Rb 0.000 0.500 0.500
Li 0.000 0.500 0.000
Br 0.212 0.704 0.992
Br 0.257 0.746 0.513
Br 0.255 0.265 0.510
Br 0.780 0.704 0.992
Br 0.220 0.296 0.008
Br 0.745 0.735 0.490
Br 0.743 0.254 0.487
Br 0.788 0.296 0.008

---

Record 6
## CsRb2LiBr6 (PBE)

Data for a geometry-optimized CsRb2LiBr6 structure.

## Properties
- VASP energy: -25.693 eV/cell
- Volume: 43.6 Å³ per atom
- D(E_F): 1.708 states/eV/atom
- ΔE_f (raw): -1095 meV per atom

Cell lengths 8.509, 8.509, 8.511 Å; angles 60.01, 60.01, 90.00 degrees
Fractional coordinates of all 10 atoms:
Cs 0.000 0.000 0.000
Br 0.282 0.282 0.437
Br 0.718 0.718 0.563
Br 0.282 0.282 0.000
Br 0.718 0.718 0.000
Br 0.718 0.282 0.000
Br 0.282 0.718 0.000
Rb 0.750 0.250 0.500
Rb 0.250 0.750 0.500
Li 0.500 0.500 0.000

---

Record 7
## CsRb2LiBr (PBE)

Data for a geometry-optimized CsRb2LiBr structure.

## Properties
- VASP energy: -9.148 eV/cell
- Volume: 65.8 Å³ per atom
- D(E_F): 0.662 states/eV/atom
- ΔE_f (raw): -555 meV per atom

Cell lengths 6.789, 6.789, 7.138 Å; angles 90.00, 90.00, 90.00 degrees
Fractional coordinates of all 5 atoms:
Cs 0.000 0.000 0.500
Br 0.000 0.000 0.000
Rb 0.000 0.500 0.000
Rb 0.500 0.000 0.000
Li 0.500 0.500 0.500

---

Record 8
## Cs2LiRuBr6 (PBE)

Data for a geometry-optimized Cs2LiRuBr6 structure.

## Properties
- Energy relative to the lowest polymorph listed for this composition: 0.0 kJ/mol of formula units
- VASP energy: -68.365 eV/cell
- Volume: 32.3 Å³ per atom
- D(E_F): 0.828 states/eV/atom
- ΔE_f (raw): -1125 meV per atom

Cell lengths 7.660, 7.660, 13.476 Å; angles 73.49, 73.49, 60.00 degrees
Fractional coordinates of all 20 atoms:
Cs 0.879 0.879 0.364
Cs 0.121 0.121 0.636
Cs 0.707 0.707 0.878
Cs 0.293 0.293 0.122
Li 0.000 0.000 0.000
Li 0.500 0.500 0.500
Ru 0.585 0.585 0.244
Ru 0.415 0.415 0.756
Br 0.856 0.392 0.361
Br 0.392 0.856 0.361
Br 0.392 0.392 0.361
Br 0.144 0.608 0.639
Br 0.608 0.144 0.639
Br 0.608 0.608 0.639
Br 0.693 0.218 0.872
Br 0.218 0.693 0.872
Br 0.218 0.218 0.872
Br 0.307 0.782 0.128
Br 0.782 0.307 0.128
Br 0.782 0.782 0.128